The following is a PBE-GGA calculation of an optimized crystal structure of TiCl, from Alexandria.

Calculated values
Mass density (g/cm3): 3.2
Formation energy without anion corrections (meV per atom): -242
SG: F-43m (216)

Lattice parameters (Å, degrees): 3.9459 3.9459 3.9459 60.00 60.00 60.00
Fractional coordinates of all 2 atoms:
1 Ti 0.0000 0.0000 0.0000
2 Cl 0.2500 0.2500 0.2500

***

The following is a PBE-GGA calculation of an optimized crystal structure of UNi3As2, from Alexandria.

Calculated values
Formation energy (meV/atom): -413
Mass density (g/cm3): 10.2
E above lowest polymorph (meV/atom): 7
SG: C2/m (12)

Lattice parameters (Å, degrees): 7.6318 7.6318 7.1238 115.20 115.20 29.49
Fractional coordinates of all 12 atoms:
1 U 0.1456 0.1456 0.0662
2 U 0.8544 0.8544 0.9338
3 Ni 0.0469 0.0469 0.3892
4 Ni 0.3115 0.3115 0.5550
5 Ni 0.4009 0.4009 0.3248
6 Ni 0.5991 0.5991 0.6752
7 Ni 0.6885 0.6885 0.4450
8 Ni 0.9531 0.9531 0.6108
9 As 0.1970 0.1970 0.7036
10 As 0.4805 0.4805 0.8052
11 As 0.5195 0.5195 0.1948
12 As 0.8030 0.8030 0.2964

***

The following is a PBE-GGA calculation of an optimized crystal structure of DyGa2Co5, from Alexandria.

Calculated values
Formation energy (meV/atom): -124
Mass density (g/cm3): 8.7
SG: Immm (71)

Lattice parameters (Å, degrees): 6.0506 6.0506 6.0506 144.94 113.15 77.78
Fractional coordinates of all 8 atoms:
1 Dy 0.0000 0.0000 0.0000
2 Ga 0.2484 0.7484 0.5000
3 Ga 0.7516 0.2516 0.5000
4 Co 0.1917 0.3737 0.8179
5 Co 0.4442 0.6263 0.8179
6 Co 0.5000 0.0000 0.5000
7 Co 0.5558 0.3737 0.1821
8 Co 0.8083 0.6263 0.1821

***

The following is a PBE-GGA calculation of an optimized crystal structure of ZnReRh4, from Alexandria.

Calculated values
Formation energy (meV/atom): 391
Mass density (g/cm3): 12.1
SG: F-43m (216)

Lattice parameters (Å, degrees): 5.0515 5.0515 5.0515 60.00 60.00 60.00
Fractional coordinates of all 6 atoms:
1 Zn 0.0000 0.0000 0.0000
2 Re 0.7500 0.7500 0.7500
3 Rh 0.3747 0.3747 0.3747
4 Rh 0.3747 0.3747 0.8759
5 Rh 0.3747 0.8759 0.3747
6 Rh 0.8759 0.3747 0.3747

***

The following is a PBE-GGA calculation of an optimized crystal structure of PaInCu2, from Alexandria.

Calculated values
Formation energy (meV/atom): 43
Mass density (g/cm3): 10.7
SG: P4/mmm (123)

Lattice parameters (Å, degrees): 3.1473 3.1473 7.3932 90.00 90.00 90.00
Fractional coordinates of all 4 atoms:
1 Pa 0.0000 0.0000 0.0000
2 In 0.0000 0.0000 0.5000
3 Cu 0.5000 0.5000 0.2658
4 Cu 0.5000 0.5000 0.7342

***

The following is a PBE-GGA calculation of an optimized crystal structure of ReSnPO2, from Alexandria.

Calculated values
Mass density (g/cm3): 7.9
E above lowest polymorph (meV/atom): 0
Formation energy without anion corrections (meV per atom): -661
SG: P4/mmm (123)

Lattice parameters (Å, degrees): 3.8726 3.8726 5.1861 90.00 90.00 90.00
Fractional coordinates of all 5 atoms:
1 Re 0.0000 0.0000 0.0000
2 Sn 0.5000 0.5000 0.5000
3 P 0.0000 0.0000 0.5000
4 O 0.0000 0.5000 0.0000
5 O 0.5000 0.0000 0.0000

***

The following is a PBE-GGA calculation of an optimized crystal structure of LiAl2Ga, from Alexandria.

Calculated values
Formation energy (meV/atom): -13
Mass density (g/cm3): 3.0
SG: R3m (160)

Lattice parameters (Å, degrees): 5.1003 5.1003 5.1003 50.77 50.77 50.77
Fractional coordinates of all 4 atoms:
1 Li 0.0000 0.0000 0.0000
2 Al 0.5784 0.5784 0.5784
3 Al 0.7848 0.7848 0.7848
4 Ga 0.2003 0.2003 0.2003

***

The following is a PBE-GGA calculation of an optimized crystal structure of ScSBr, from Alexandria.

Calculated values
Mass density (g/cm3): 3.1
Formation energy without anion corrections (meV per atom): -1790
SG: P3m1 (156)

Lattice parameters (Å, degrees): 3.7935 3.7935 6.6545 90.00 90.00 120.00
Fractional coordinates of all 3 atoms:
1 Sc 0.0000 0.0000 0.0000
2 S 0.6667 0.3333 0.1798
3 Br 0.3333 0.6667 0.7344

***

Question: Look up the mass density of the fourth one.
Answer: 12.1 g/cm3